Compound: BPRhC
Source: the Alexandria database
Functional: PBE-GGA
Structure: optimized geometry

The space group is Cm (No. 8) and the conventional cell measures 11.130, 2.829 and 2.922 Å, with angles of 90.00, 105.08 and 90.00 degrees. Symmetry generates all atoms from B at (0.000, 0.000, 0.000), P at (0.176, 0.500, 0.675), Rh at (0.344, 0.000, 0.841) and C at (0.068, 0.500, 0.068).

Its formation energy from the elements is 0.6 eV per formula unit. Its density of states at the Fermi level is 3.88 states/eV per cell. Its calculated total energy is -7.010 eV/atom. As for the energy above the most stable polymorph in this dataset: 0.1079 eV/atom.